# ZrCdW2

ZrCdW2 after structural relaxation (GGA-PBE, Alexandria via LeMat-Bulk).

Calculated values
Size of the total moment   0.000 Bohr magnetons per cell
Space group   Cmmm (65)
Energy relative to the elements   0.419 eV per atom
V   73.47 Å³ per cell

a b c (Å): 2.8088 2.8088 9.6861
angles (deg): 90.00 90.00 105.95
Positions (direct):
Cd: 0.5000 0.5000 0.7500
W: 0.0000 0.0000 0.0002
W: 0.0000 0.0000 0.4998
Zr: 0.5000 0.5000 0.2500

=====

# ZrCd2W

ZrCd2W after structural relaxation (GGA-PBE, Alexandria via LeMat-Bulk).

Calculated values
Size of the total moment   0.000 Bohr magnetons per cell
E above lowest polymorph   0.2357 eV/atom
Space group   I-4m2 (119)
Energy relative to the elements   0.426 eV per atom
V   78.94 Å³ per cell

a b c (Å): 5.3643 5.3643 5.3643
angles (deg): 133.85 133.85 67.32
Positions (direct):
Cd: 0.0000 0.0000 0.0000
Cd: 0.2500 0.7500 0.5000
W: 0.5000 0.5000 0.0000
Zr: 0.7500 0.2500 0.5000

=====

# ZrCd2W

ZrCd2W after structural relaxation (GGA-PBE, Alexandria via LeMat-Bulk).

Calculated values
Size of the total moment   0.000 Bohr magnetons per cell
E above lowest polymorph   0.1002 eV/atom
Space group   I4/mmm (139)
Energy relative to the elements   0.290 eV per atom
V   77.93 Å³ per cell

a b c (Å): 5.4620 5.4620 5.4620
angles (deg): 135.87 135.87 64.18
Positions (direct):
Cd: 0.0000 0.0000 0.0000
Cd: 0.5000 0.5000 0.0000
W: 0.2500 0.7500 0.5000
Zr: 0.7500 0.2500 0.5000

=====

# ZrCd2W

ZrCd2W after structural relaxation (GGA-PBE, Alexandria via LeMat-Bulk).

Calculated values
Size of the total moment   0.000 Bohr magnetons per cell
E above lowest polymorph   0.1531 eV/atom
Space group   C2/m (12)
Energy relative to the elements   0.343 eV per atom
V   79.25 Å³ per cell

a b c (Å): 5.4551 5.4551 5.1234
angles (deg): 79.99 79.99 31.90
Positions (direct):
Cd: 0.0067 0.0067 0.9899
Cd: 0.4933 0.4933 0.5101
W: 0.7500 0.7500 0.7500
Zr: 0.2500 0.2500 0.2500

=====

# ZrCd2W

ZrCd2W after structural relaxation (GGA-PBE, Alexandria via LeMat-Bulk).

Calculated values
Size of the total moment   0.000 Bohr magnetons per cell
E above lowest polymorph   0.1091 eV/atom
Space group   P2/m (10)
Energy relative to the elements   0.299 eV per atom
V   77.60 Å³ per cell

a b c (Å): 4.6958 2.8704 6.6057
angles (deg): 60.64 90.00 90.00
Positions (direct):
Cd: 0.0000 0.9793 0.0092
Cd: 0.0000 0.5207 0.4908
W: 0.5000 0.2500 0.2500
Zr: 0.5000 0.7500 0.7500

=====

# ZrCdW2

ZrCdW2 after structural relaxation (GGA-PBE, Alexandria via LeMat-Bulk).

Calculated values
Size of the total moment   0.000 Bohr magnetons per cell
Space group   P4mm (99)
Energy relative to the elements   0.175 eV per atom
V   75.66 Å³ per cell

a b c (Å): 3.2741 3.2741 7.0577
angles (deg): 90.00 90.00 90.00
Positions (direct):
Cd: 0.5000 0.5000 0.7694
W: 0.0000 0.0000 0.0309
W: 0.5000 0.5000 0.2268
Zr: 0.0000 0.0000 0.4728

=====

# ZrCdW2

ZrCdW2 after structural relaxation (GGA-PBE, Alexandria via LeMat-Bulk).

Calculated values
Size of the total moment   0.000 Bohr magnetons per cell
Space group   I4/mmm (139)
Energy relative to the elements   0.494 eV per atom
V   74.38 Å³ per cell

a b c (Å): 5.4210 5.4210 5.4210
angles (deg): 136.55 136.55 63.13
Positions (direct):
Cd: 0.7500 0.2500 0.5000
W: 0.0000 0.0000 0.0000
W: 0.5000 0.5000 0.0000
Zr: 0.2500 0.7500 0.5000

=====

# ZrCdW2

ZrCdW2 after structural relaxation (GGA-PBE, Alexandria via LeMat-Bulk).

Calculated values
Size of the total moment   0.000 Bohr magnetons per cell
Space group   P4/mmm (123)
Energy relative to the elements   0.396 eV per atom
V   73.35 Å³ per cell

a b c (Å): 4.5605 4.0106 4.0106
angles (deg): 90.00 90.00 90.00
Positions (direct):
Cd: 0.5000 0.0000 0.5000
W: 0.0000 0.0000 0.0000
W: 0.0000 0.5000 0.5000
Zr: 0.5000 0.5000 0.0000

=====

# ZrCd2W

ZrCd2W after structural relaxation (GGA-PBE, Alexandria via LeMat-Bulk).

Calculated values
Size of the total moment   0.000 Bohr magnetons per cell
E above lowest polymorph   0.1623 eV/atom
Space group   Cm (8)
Energy relative to the elements   0.352 eV per atom
V   79.80 Å³ per cell

a b c (Å): 5.2774 5.2774 5.4795
angles (deg): 80.16 80.16 32.10
Positions (direct):
Cd: 0.0028 0.0028 0.9797
Cd: 0.7589 0.7589 0.7650
W: 0.5012 0.5012 0.4704
Zr: 0.2372 0.2372 0.2849

=====

# ZrCd2W

ZrCd2W after structural relaxation (GGA-PBE, Alexandria via LeMat-Bulk).

Calculated values
Size of the total moment   0.000 Bohr magnetons per cell
E above lowest polymorph   0.1936 eV/atom
Space group   Imm2 (44)
Energy relative to the elements   0.384 eV per atom
V   80.52 Å³ per cell

a b c (Å): 5.8467 5.8467 5.8467
angles (deg): 149.28 127.24 62.30
Positions (direct):
Cd: 0.9939 0.9939 0.0000
Cd: 0.7425 0.2425 0.5000
W: 0.4964 0.4964 0.0000
Zr: 0.2672 0.7672 0.5000

=====

# ZrCd2W

ZrCd2W after structural relaxation (GGA-PBE, Alexandria via LeMat-Bulk).

Calculated values
Size of the total moment   0.000 Bohr magnetons per cell
E above lowest polymorph   0.1423 eV/atom
Space group   P4mm (99)
Energy relative to the elements   0.332 eV per atom
V   82.22 Å³ per cell

a b c (Å): 3.4982 3.4982 6.7188
angles (deg): 90.00 90.00 90.00
Positions (direct):
Cd: 0.0000 0.0000 0.0042
Cd: 0.5000 0.5000 0.2591
W: 0.0000 0.0000 0.5220
Zr: 0.5000 0.5000 0.7147

=====

# ZrCdW2

ZrCdW2 after structural relaxation (GGA-PBE, Alexandria via LeMat-Bulk).

Calculated values
Size of the total moment   0.000 Bohr magnetons per cell
Space group   P4/mmm (123)
Energy relative to the elements   0.593 eV per atom
V   74.25 Å³ per cell

a b c (Å): 3.4657 3.4657 6.1813
angles (deg): 90.00 90.00 90.00
Positions (direct):
Cd: 0.5000 0.5000 0.7500
W: 0.0000 0.0000 0.0176
W: 0.0000 0.0000 0.4824
Zr: 0.5000 0.5000 0.2500

=====

# ZrCdW2

ZrCdW2 after structural relaxation (GGA-PBE, Alexandria via LeMat-Bulk).

Calculated values
Size of the total moment   0.001 Bohr magnetons per cell
Space group   P4/mmm (123)
Energy relative to the elements   0.486 eV per atom
V   74.09 Å³ per cell

a b c (Å): 2.7919 2.7919 9.5047
angles (deg): 90.00 90.00 90.00
Positions (direct):
Cd: 0.5000 0.5000 0.7500
W: 0.0000 0.0000 0.9953
W: 0.0000 0.0000 0.5047
Zr: 0.5000 0.5000 0.2500

=====

# ZrCdW2

ZrCdW2 after structural relaxation (GGA-PBE, Alexandria via LeMat-Bulk).

Calculated values
Size of the total moment   0.000 Bohr magnetons per cell
Space group   Cmm2 (35)
Energy relative to the elements   0.205 eV per atom
V   74.43 Å³ per cell

a b c (Å): 2.8621 2.8621 9.6923
angles (deg): 90.00 90.00 110.37
Positions (direct):
Cd: 0.5000 0.5000 0.7619
W: 0.0000 0.0000 0.0200
W: 0.5000 0.5000 0.2356
Zr: 0.0000 0.0000 0.4824

=====

# ZrCdW2

ZrCdW2 after structural relaxation (GGA-PBE, Alexandria via LeMat-Bulk).

Calculated values
Size of the total moment   0.000 Bohr magnetons per cell
Space group   Imm2 (44)
Energy relative to the elements   0.367 eV per atom
V   75.47 Å³ per cell

a b c (Å): 5.4610 5.4610 5.4610
angles (deg): 143.07 128.62 64.95
Positions (direct):
Cd: 0.7601 0.2601 0.5000
W: 0.0216 0.0216 0.0000
W: 0.2292 0.7292 0.5000
Zr: 0.4890 0.4890 0.0000

=====

# ZrCdW2

ZrCdW2 after structural relaxation (GGA-PBE, Alexandria via LeMat-Bulk).

Calculated values
Size of the total moment   0.000 Bohr magnetons per cell
Space group   R-3m (166)
Energy relative to the elements   0.580 eV per atom
V   74.46 Å³ per cell

a b c (Å): 10.4124 10.4124 10.4124
angles (deg): 15.97 15.97 15.97
Positions (direct):
Cd: 0.2500 0.2500 0.2500
W: 0.9983 0.9983 0.9983
W: 0.5017 0.5017 0.5017
Zr: 0.7500 0.7500 0.7500

=====

# ZrCd2W

ZrCd2W after structural relaxation (GGA-PBE, Alexandria via LeMat-Bulk).

Calculated values
Size of the total moment   0.000 Bohr magnetons per cell
E above lowest polymorph   0.5278 eV/atom
Space group   I-42d (122)
Energy relative to the elements   0.718 eV per atom
V   171.86 Å³ per cell

a b c (Å): 4.0045 4.0045 11.0844
angles (deg): 79.59 79.59 90.00
Positions (direct):
Zr: 0.5000 0.5000 0.0000
Zr: 0.2500 0.7500 0.5000
W: 0.0000 0.0000 0.0000
W: 0.7500 0.2500 0.5000
Cd: 0.6359 0.1250 0.2500
Cd: 0.1141 0.6250 0.2500
Cd: 0.3750 0.3641 0.7500
Cd: 0.8750 0.8859 0.7500

=====

# ZrCdW2

ZrCdW2 after structural relaxation (GGA-PBE, Alexandria via LeMat-Bulk).

Calculated values
Size of the total moment   0.000 Bohr magnetons per cell
Space group   Pmm2 (25)
Energy relative to the elements   0.394 eV per atom
V   74.19 Å³ per cell

a b c (Å): 2.7697 4.3700 6.1300
angles (deg): 90.00 90.00 90.00
Positions (direct):
Cd: 0.5000 0.5000 0.7561
W: 0.0000 0.0000 0.0178
W: 0.5000 0.5000 0.2306
Zr: 0.0000 0.0000 0.4954

=====

# ZrCdW2

ZrCdW2 after structural relaxation (GGA-PBE, Alexandria via LeMat-Bulk).

Calculated values
Size of the total moment   0.000 Bohr magnetons per cell
Space group   Cmmm (65)
Energy relative to the elements   0.506 eV per atom
V   73.78 Å³ per cell

a b c (Å): 5.4932 5.4932 2.7349
angles (deg): 90.00 90.00 116.62
Positions (direct):
Cd: 0.0000 0.5000 0.5000
W: 0.0000 0.0000 0.0000
W: 0.5000 0.5000 0.0000
Zr: 0.5000 0.0000 0.5000

=====

# ZrCd2W

ZrCd2W after structural relaxation (GGA-PBE, Alexandria via LeMat-Bulk).

Calculated values
Size of the total moment   0.000 Bohr magnetons per cell
E above lowest polymorph   0.1270 eV/atom
Space group   R3m (160)
Energy relative to the elements   0.317 eV per atom
V   80.15 Å³ per cell

a b c (Å): 10.6576 10.6576 10.6576
angles (deg): 16.00 16.00 16.00
Positions (direct):
Cd: 0.9997 0.9997 0.9997
Cd: 0.2459 0.2459 0.2459
W: 0.5014 0.5014 0.5014
Zr: 0.7530 0.7530 0.7530